1.
Li2AcPr2Si2: relaxed, PBE-GGA.

Cell lengths 4.6319, 4.6319, 28.4880 Å; angles 90.00, 90.00, 120.00 degrees
Space group R-3m (No. 166, hexagonal axes)
Inequivalent atoms, fractional coordinates:
Li 0.0000 0.0000 0.0905
Ac 0.0000 0.0000 0.5000
Pr 0.0000 0.0000 0.3701
Si 0.0000 0.0000 0.2426

Properties
The calculated volume comes out at 529.3 Å³/cell. Its size of the total moment is 0.00 μB per formula unit. The value obtained for the electronic total energy is -92.7 eV/cell.



2.
TbY3Ho2P6: relaxed, PBE-GGA.

Cell lengths 6.9414, 12.0209, 6.9413 Å; angles 90.00, 109.45, 90.00 degrees
Space group C2/m (No. 12)
Inequivalent atoms, fractional coordinates:
Tb 0.0000 0.0000 0.0000
Y 0.0000 0.1664 0.5000
Y 0.0000 0.5000 0.5000
Ho 0.0000 0.3333 0.0000
P 0.2483 0.5000 0.2489
P 0.2504 0.1673 0.2490

Properties
The calculated volume comes out at 546.1 Å³/cell. Its size of the total moment is 0.00 μB per formula unit. The value obtained for the electronic total energy is -170.2 eV/cell.